A plane-wave DFT calculation with GGA-PBE was carried out for a geometry-optimized Li6AcPb4 structure.

```
11
Lattice="4.700 0.000 0.000 0.000 7.950 0.000 0.000 -3.975 6.885" Properties=species:S:1:pos:R:3 pbc="T T T"
Li 0.000 3.975 0.500
Li 2.350 1.396 5.396
Li 0.000 2.420 3.192
Li 0.000 5.529 3.192
Li 2.350 -1.396 5.396
Li 2.350 0.000 2.977
Ac 0.000 0.000 0.000
Pb 2.350 3.975 4.183
Pb 2.350 2.340 1.351
Pb 2.350 5.610 1.351
Pb 0.000 0.000 4.590
```

## Properties
**N(E_F)**: 5.282 states/eV per cell
**Space group**: P-6m2, No. 187
**Total moment**: 0.00 μB/cell
**E_form**: -6.87 kcal/mol of atoms